(1)
Pr2ZnSi3Ni12 | GGA-PBE | optimized geometry

Calculated values
The value obtained for the formation energy (no corrections) is -0.092 eV/atom. The density of states at the Fermi level comes out at 13.37 states/eV/f.u. The symmetry is No. 166. The total energy is -98.14 eV/cell.

The structure in extended XYZ format:
```
18
Lattice="-3.001 0.009 5.577 2.878 -5.183 2.229 4.540 3.135 3.110" Properties=species:S:1:pos:R:3 pbc="T T T"
Pr 2.866 -1.323 7.084
Pr 1.551 -0.716 3.833
Zn 0.000 0.000 0.000
Si -1.501 0.004 2.789
Si 1.439 -2.591 1.115
Si 2.270 1.568 1.555
Ni 4.060 0.864 5.790
Ni 1.231 -3.304 7.285
Ni 5.174 -1.669 5.995
Ni 0.113 -0.773 7.081
Ni 2.100 1.046 7.746
Ni 3.190 -3.490 5.329
Ni 0.357 -2.902 5.127
Ni 3.185 1.265 3.631
Ni -0.758 -0.370 4.921
Ni 4.303 -1.266 3.835
Ni 2.316 -3.084 3.171
Ni 1.226 1.451 5.588
```

=====

(2)
Pr2ZnSi4Ni3 | GGA-PBE | optimized geometry

Calculated values
The value obtained for the formation energy (no corrections) is -0.722 eV/atom. The density of states at the Fermi level comes out at 4.70 states/eV/f.u. The symmetry is No. 115. The total energy is -57.09 eV/cell.

The structure in extended XYZ format:
```
10
Lattice="-1.260 3.203 -2.218 -0.434 -2.432 -3.266 -9.233 -1.835 2.594" Properties=species:S:1:pos:R:3 pbc="T T T"
Pr -2.886 1.153 -0.475
Pr -7.195 -2.603 0.328
Zn -5.464 -0.532 -1.445
Si -0.847 0.386 -2.742
Si 0.000 0.000 0.000
Si -6.548 0.426 0.554
Si -3.533 -1.875 -0.701
Ni -4.617 -0.918 1.297
Ni -8.790 -0.020 1.184
Ni -1.290 -1.429 -1.331
```

=====

(3)
PrZn2SiNi2 | GGA-PBE | optimized geometry

Calculated values
The value obtained for the formation energy (no corrections) is -0.307 eV/atom. The density of states at the Fermi level comes out at 4.60 states/eV/f.u. The symmetry is No. 123. The total energy is -26.16 eV/cell.

The structure in extended XYZ format:
```
6
Lattice="-2.834 2.748 1.708 1.425 -0.979 3.939 3.860 4.200 -0.353" Properties=species:S:1:pos:R:3 pbc="T T T"
Pr 1.930 2.100 -0.176
Zn 2.168 4.010 2.561
Zn 0.283 1.959 2.733
Si 0.000 0.000 0.000
Ni -1.417 1.374 0.854
Ni 0.712 -0.489 1.970
```

=====

(4)
PrSmNi4 | GGA-PBE | optimized geometry

Calculated values
The density of states at the Fermi level comes out at 5.06 states/eV/f.u. The calculation puts the formation energy from the elements at -30.81 kJ per mole of atoms. The symmetry is No. 216. The total energy is -34.54 eV/cell.

The structure in extended XYZ format:
```
6
Lattice="-1.447 4.140 2.733 1.437 0.465 4.941 3.498 3.556 1.350" Properties=species:S:1:pos:R:3 pbc="T T T"
Pr 0.000 0.000 0.000
Ni 0.436 3.325 4.963
Ni 1.462 4.865 3.174
Ni 2.178 5.096 5.636
Ni 2.899 3.034 4.275
Sm 0.872 2.040 2.256
```

=====

What did the second record say?
Pr2ZnSi4Ni3 | GGA-PBE | optimized geometry

Calculated values
The value obtained for the formation energy (no corrections) is -0.722 eV/atom. The density of states at the Fermi level comes out at 4.70 states/eV/f.u. The symmetry is No. 115. The total energy is -57.09 eV/cell.

The structure in extended XYZ format:
```
10
Lattice="-1.260 3.203 -2.218 -0.434 -2.432 -3.266 -9.233 -1.835 2.594" Properties=species:S:1:pos:R:3 pbc="T T T"
Pr -2.886 1.153 -0.475
Pr -7.195 -2.603 0.328
Zn -5.464 -0.532 -1.445
Si -0.847 0.386 -2.742
Si 0.000 0.000 0.000
Si -6.548 0.426 0.554
Si -3.533 -1.875 -0.701
Ni -4.617 -0.918 1.297
Ni -8.790 -0.020 1.184
Ni -1.290 -1.429 -1.331
```

=====

Question: Number 2 is which compound?
Answer: Pr2ZnSi4Ni3